1.
ScInGaHg: relaxed, PBE-GGA.

As for the polymorph energy (0 for the lowest one): 0.176 eV per atom. For the formation energy from the elements, the calculation gives -0.146 eV/atom.

The space group is F-43m (No. 216) and the conventional cell measures 7.030, 7.030 and 7.030 Å, with angles of 90.00, 90.00 and 90.00 degrees. The inequivalent atoms are Sc at (0.000, 0.000, 0.000), In at (0.000, 0.000, 0.500), Ga at (0.250, 0.250, 0.750) and Hg at (0.250, 0.250, 0.250).

=====

2.
LiV2Ag2: relaxed, PBE-GGA.

As for the polymorph energy (0 for the lowest one): 0.065 eV per atom. For the formation energy from the elements, the calculation gives 0.429 eV/atom.

The space group is P4/mbm (No. 127) and the conventional cell measures 7.903, 7.903 and 2.854 Å, with angles of 90.00, 90.00 and 90.00 degrees. The inequivalent atoms are Li at (0.000, 0.000, 0.000), V at (0.084, 0.416, 0.500) and Ag at (0.206, 0.706, 0.000).

=====

3.
AcEuSbPd: relaxed, PBE-GGA.

The space group is F-43m (No. 216) and the conventional cell measures 7.781, 7.781 and 7.781 Å, with angles of 90.00, 90.00 and 90.00 degrees. The inequivalent atoms are Ac at (0.000, 0.000, 0.000), Eu at (0.000, 0.000, 0.500), Sb at (0.250, 0.250, 0.750) and Pd at (0.250, 0.250, 0.250).

=====

One value per record, in order, for VASP energy: -3.246, -4.742, -6.749 eV per atom.